No. 1
Compound: MgTlSn4
Source: Alexandria via LeMat-Bulk
Functional: PBE-GGA
Structure: relaxed

Values from the calculation:
Formation energy from the elements ... 0.096 eV/atom
Theoretical density ... 6.71 Mg/m³
Energy above the most stable polymorph in this dataset ... 85.6 meV/atom
N(E_F) ... 3.0 states/eV/f.u.
Space-group type ... F-43m (216)
Raw total energy ... -3.23 eV per atom

Cell: 6.269 6.269 6.269 Å, 60.00 60.00 60.00°
Fractional coordinates of all 6 atoms:
Sn 0.625 0.625 0.625
Tl 0.250 0.250 0.250
Sn 0.625 0.625 0.125
Sn 0.125 0.625 0.625
Mg 0.000 0.000 0.000
Sn 0.625 0.125 0.625

No. 2
Compound: Ce4Tl2Cd3
Source: Alexandria via LeMat-Bulk
Functional: PBE-GGA
Structure: relaxed

Values from the calculation:
Formation energy from the elements ... -0.166 eV/atom
Theoretical density ... 9.05 Mg/m³
N(E_F) ... 22.2 states/eV/f.u.
Space-group type ... C2/m (12)
Raw total energy ... -3.63 eV per atom

Cell: 4.776 5.817 9.806 Å, 76.23 89.99 65.76°
Fractional coordinates of all 9 atoms:
Cd 0.321 0.358 0.455
Ce 0.985 0.031 0.347
Ce 0.322 0.356 0.103
Cd 0.679 0.642 0.545
Tl 0.650 0.699 0.223
Cd 0.000 0.000 0.000
Ce 0.015 0.969 0.653
Tl 0.350 0.301 0.777
Ce 0.678 0.644 0.897

No. 3
Compound: MgTaCr
Source: Alexandria via LeMat-Bulk
Functional: PBE-GGA
Structure: relaxed

Values from the calculation:
Formation energy from the elements ... 0.424 eV/atom
Theoretical density ... 8.83 Mg/m³
Energy above the most stable polymorph in this dataset ... 79.6 meV/atom
N(E_F) ... 2.3 states/eV/f.u.
Space-group type ... P3m1 (156)
Raw total energy ... -7.27 eV per atom

Cell: 4.569 4.569 2.677 Å, 90.00 90.00 120.00°
Fractional coordinates of all 3 atoms:
Cr 0.000 0.000 0.997
Mg 0.667 0.333 0.297
Ta 0.333 0.667 0.706

No. 4
Compound: CoTeS
Source: Alexandria via LeMat-Bulk
Functional: PBE-GGA
Structure: relaxed

Values from the calculation:
Formation energy without anion corrections ... -0.164 eV per atom
Theoretical density ... 6.25 Mg/m³
Energy above the most stable polymorph in this dataset ... 53.8 meV/atom
N(E_F) ... 2.8 states/eV/f.u.
Space-group type ... Pmmn (59)
Raw total energy ... -4.96 eV per atom

Cell: 3.536 4.367 7.523 Å, 90.00 90.00 90.00°
Fractional coordinates of all 6 atoms:
Co 0.000 0.500 0.368
Co 0.500 0.000 0.632
S 0.500 0.500 0.563
Te 0.000 0.000 0.875
S 0.000 0.000 0.437
Te 0.500 0.500 0.125